(1)
Entry from the Alexandria database: a geometry-optimized PrMoO5 structure (PBE+U).

a = 4.734 Å, b = 7.703 Å, c = 7.703 Å
α = 90.00°, β = 90.00°, γ = 90.00°
Atoms (fractional coordinates):
Pr 0.224 0.500 0.000
Pr 0.776 0.000 0.500
Mo 0.500 0.000 0.000
Mo 0.500 0.500 0.500
O 0.283 0.191 0.000
O 0.283 0.500 0.309
O 0.273 0.000 0.500
O 0.727 0.500 0.000
O 0.283 0.500 0.691
O 0.283 0.809 0.000
O 0.717 0.691 0.500
O 0.717 0.000 0.809
O 0.717 0.000 0.191
O 0.717 0.309 0.500

Values from the calculation:
* ΔE to the lowest computed polymorph: 209.1 meV/atom
* crystal system: tetragonal
* Fermi-level density of states: 5.859 states/eV/f.u.
* M_tot: 1.00 μB per formula unit



(2)
Entry from the Alexandria database: a geometry-optimized PrMoO5 structure (PBE+U).

a = 5.720 Å, b = 5.720 Å, c = 7.801 Å
α = 70.42°, β = 70.42°, γ = 71.13°
Atoms (fractional coordinates):
Pr 0.555 0.445 0.250
Pr 0.445 0.555 0.750
Mo 0.000 0.000 0.000
Mo 0.000 0.000 0.500
O 0.790 0.766 0.111
O 0.279 0.708 0.464
O 0.766 0.790 0.611
O 0.933 0.067 0.250
O 0.292 0.721 0.036
O 0.708 0.279 0.964
O 0.067 0.933 0.750
O 0.234 0.210 0.389
O 0.721 0.292 0.536
O 0.210 0.234 0.889

Values from the calculation:
* ΔE to the lowest computed polymorph: 178.0 meV/atom
* crystal system: monoclinic
* Fermi-level density of states: 1.969 states/eV/f.u.
* M_tot: 1.02 μB per formula unit



(3)
Entry from the Alexandria database: a geometry-optimized Pr6MoO12 structure (PBE+U).

a = 6.784 Å, b = 6.784 Å, c = 6.784 Å
α = 98.45°, β = 98.45°, γ = 98.45°
Atoms (fractional coordinates):
Pr 0.691 0.856 0.388
Pr 0.612 0.309 0.144
Pr 0.144 0.612 0.309
Pr 0.309 0.144 0.612
Pr 0.388 0.691 0.856
Pr 0.856 0.388 0.691
Mo 0.000 0.000 0.000
O 0.823 0.560 0.408
O 0.408 0.823 0.560
O 0.560 0.408 0.823
O 0.177 0.440 0.592
O 0.592 0.177 0.440
O 0.440 0.592 0.177
O 0.069 0.969 0.286
O 0.031 0.714 0.931
O 0.714 0.931 0.031
O 0.931 0.031 0.714
O 0.969 0.286 0.069
O 0.286 0.069 0.969

Values from the calculation:
* crystal system: trigonal
* Fermi-level density of states: 0.000 states/eV/f.u.
* final energy: -8.03 eV/atom
* M_tot: 0.00 μB per formula unit



(4)
Entry from the Alexandria database: a geometry-optimized PrMo2O6 structure (PBE+U).

a = 5.121 Å, b = 5.423 Å, c = 5.423 Å
α = 121.87°, β = 89.46°, γ = 89.46°
Atoms (fractional coordinates):
Pr 0.000 0.000 0.000
Mo 0.500 0.663 0.337
Mo 0.500 0.337 0.663
O 0.717 0.632 0.632
O 0.284 0.634 0.996
O 0.284 0.996 0.634
O 0.716 0.366 0.004
O 0.283 0.368 0.368
O 0.716 0.004 0.366

Values from the calculation:
* ΔE to the lowest computed polymorph: 0.0 meV/atom
* crystal system: monoclinic
* Fermi-level density of states: 1.660 states/eV/f.u.
* M_tot: 3.00 μB per formula unit



The highest Fermi-level density of states belongs to which entry? number 1